! Na4Mn3SeO8 | the Alexandria database | PBE with a Hubbard U | relaxed; values from VASP
&SYSTEM
  ibrav = 0, nat = 16, ntyp = 4
/
ATOMIC_SPECIES
Na 22.99 Na.upf
Mn 54.94 Mn.upf
Se 78.96 Se.upf
O 16.00 O.upf
CELL_PARAMETERS angstrom
5.483 -3.139 0.000
5.483 3.139 0.000
-3.572 0.000 5.420
ATOMIC_POSITIONS crystal
Na 0.000 0.000 0.000
Na 0.000 0.500 0.000
Na 0.500 0.000 0.000
Na 0.500 0.500 0.000
Mn 0.000 0.000 0.500
Mn 0.000 0.500 0.500
Mn 0.500 0.000 0.500
Se 0.500 0.500 0.500
O 0.216 0.216 0.682
O 0.253 0.737 0.715
O 0.263 0.747 0.285
O 0.266 0.266 0.302
O 0.734 0.734 0.698
O 0.737 0.253 0.715
O 0.747 0.263 0.285
O 0.784 0.784 0.318
! final energy = -93.7 eV/f.u.
! space group = C2/m

! Na2Mn2Se2O | the Alexandria database | PBE with a Hubbard U | relaxed; values from VASP
&SYSTEM
  ibrav = 0, nat = 7, ntyp = 4
/
ATOMIC_SPECIES
Na 22.99 Na.upf
Mn 54.94 Mn.upf
Se 78.96 Se.upf
O 16.00 O.upf
CELL_PARAMETERS angstrom
-2.151 2.151 7.420
2.151 -2.151 7.420
2.151 2.151 -7.420
ATOMIC_POSITIONS crystal
Na 0.171 0.171 0.000
Na 0.829 0.829 0.000
Mn 0.000 0.500 0.500
Mn 0.500 0.000 0.500
Se 0.372 0.372 0.000
Se 0.628 0.628 0.000
O 0.000 0.000 0.000
! final energy = -37.4 eV/f.u.
! space group = I4/mmm

! NaMn2SiO4 | the Alexandria database | PBE with a Hubbard U | relaxed; values from VASP
&SYSTEM
  ibrav = 0, nat = 8, ntyp = 4
/
ATOMIC_SPECIES
Na 22.99 Na.upf
Mn 54.94 Mn.upf
Si 28.09 Si.upf
O 16.00 O.upf
CELL_PARAMETERS angstrom
-2.560 2.560 4.171
2.560 -2.560 4.171
2.560 2.560 -4.171
ATOMIC_POSITIONS crystal
Na 0.000 0.000 0.000
Mn 0.250 0.750 0.500
Mn 0.750 0.250 0.500
Si 0.500 0.500 0.000
O 0.195 0.195 0.623
O 0.428 0.805 0.000
O 0.572 0.572 0.377
O 0.805 0.428 0.000
! final energy = -56.3 eV/f.u.
! space group = I-42m

Which of these has the lowest final energy? Na4Mn3SeO8

Which value of final energy does entry 1 give? -93.7 eV/f.u.

Which value of final energy does entry 2 give? -37.4 eV/f.u.

Number 3 is which compound? NaMn2SiO4